The following is a PBE calculation of a geometry-optimized GdAgHg2 structure, from Alexandria.

The structure in POSCAR format:
```
GdAgHg2
1.0
3.572 0.000 0.000
0.000 3.572 0.000
0.000 0.000 7.225
Gd Ag Hg
1 1 2
Direct
0.000 0.000 0.000
0.000 0.000 0.500
0.500 0.500 0.273
0.500 0.500 0.727
```

Summary:
Spin magnetization, μB per atom: 1.87
Energy of formation, eV/atom: -0.262
Symmetry: P4/mmm, No. 123

=====

The following is a PBE calculation of a geometry-optimized Sr2LaMn structure, from Alexandria.

The structure in POSCAR format:
```
Sr2LaMn
1.0
0.000 4.171 4.171
4.171 0.000 4.171
4.171 4.171 0.000
Sr La Mn
2 1 1
Direct
0.000 0.000 0.000
0.250 0.250 0.250
0.500 0.500 0.500
0.750 0.750 0.750
```

Summary:
Spin magnetization, μB per atom: 0.93
E above lowest polymorph, eV/f.u.: 0.92
Energy of formation, eV/atom: 0.475
Symmetry: F-43m, No. 216

=====

The following is a PBE calculation of a geometry-optimized CaTl2PtO6 structure, from Alexandria.

The structure in POSCAR format:
```
CaTl2PtO6
1.0
5.705 0.000 0.000
0.000 5.781 0.000
-5.648 0.000 8.240
Ca Tl Pt O
2 4 2 12
Direct
0.000 0.000 0.000
0.000 0.500 0.500
0.220 0.040 0.734
0.220 0.460 0.234
0.780 0.540 0.766
0.780 0.960 0.266
0.500 0.000 0.500
0.500 0.500 0.000
0.160 0.175 0.454
0.160 0.325 0.954
0.239 0.720 0.412
0.239 0.780 0.912
0.399 0.090 0.277
0.399 0.410 0.777
0.601 0.590 0.223
0.601 0.910 0.723
0.761 0.220 0.088
0.761 0.280 0.588
0.840 0.675 0.046
0.840 0.825 0.546
```

Summary:
Spin magnetization, μB per atom: 0.00
Formation energy without anion corrections, meV per atom: -1120.5
Symmetry: P2_1/c, No. 14

=====

The following is a PBE calculation of a geometry-optimized Ac4Pm3ErSe8 structure, from Alexandria.

The structure in POSCAR format:
```
Ac4Pm3ErSe8
1.0
4.280 2.471 7.146
-4.280 2.471 7.146
0.000 -4.942 7.146
Ac Pm Er Se
4 3 1 8
Direct
0.000 0.000 0.000
0.000 0.500 0.500
0.500 0.000 0.500
0.500 0.500 0.000
0.000 0.000 0.500
0.000 0.500 0.000
0.500 0.000 0.000
0.500 0.500 0.500
0.244 0.244 0.244
0.250 0.738 0.738
0.262 0.262 0.750
0.262 0.750 0.262
0.738 0.250 0.738
0.738 0.738 0.250
0.750 0.262 0.262
0.756 0.756 0.756
```

Summary:
Spin magnetization, μB per atom: 0.00
Formation energy without anion corrections, meV per atom: -1820.7
Symmetry: R-3m, No. 166

=====

The following is a PBE calculation of a geometry-optimized AlAgTeN2 structure, from Alexandria.

The structure in POSCAR format:
```
AlAgTeN2
1.0
3.878 0.000 0.000
0.000 3.878 0.000
0.000 0.000 6.030
Al Ag Te N
1 1 1 2
Direct
0.000 0.000 0.000
0.500 0.500 0.500
0.000 0.000 0.500
0.000 0.500 0.000
0.500 0.000 0.000
```

Summary:
Spin magnetization, μB per atom: 0.54
E above lowest polymorph, eV/f.u.: 0.00
Formation energy without anion corrections, meV per atom: 800.3
Symmetry: P4/mmm, No. 123

=====

The following is a PBE calculation of a geometry-optimized Eu2HoH structure, from Alexandria.

The structure in POSCAR format:
```
Eu2HoH
1.0
1.842 1.064 9.150
-1.842 1.064 9.150
0.000 -2.127 9.150
Eu Ho H
2 1 1
Direct
0.221 0.221 0.221
0.779 0.779 0.779
0.000 0.000 0.000
0.500 0.500 0.500
```

Summary:
Spin magnetization, μB per atom: 3.76
E above lowest polymorph, eV/f.u.: 0.00
Symmetry: R-3m, No. 166

=====

The following is a PBE calculation of a geometry-optimized P2Pb4Cl3 structure, from Alexandria.

The structure in POSCAR format:
```
P2Pb4Cl3
1.0
7.443 -2.032 0.000
7.443 2.032 0.000
-1.436 0.000 8.916
P Pb Cl
2 4 3
Direct
0.194 0.194 0.324
0.806 0.806 0.676
0.174 0.174 0.625
0.426 0.426 0.815
0.574 0.574 0.185
0.826 0.826 0.375
0.101 0.101 0.927
0.500 0.500 0.500
0.899 0.899 0.073
```

Summary:
Spin magnetization, μB per atom: 0.00
Formation energy without anion corrections, meV per atom: -426.1
Symmetry: C2/m, No. 12

=====

The following is a PBE calculation of a geometry-optimized ZrUTiAl structure, from Alexandria.

The structure in POSCAR format:
```
ZrUTiAl
1.0
0.000 3.398 3.398
3.398 0.000 3.398
3.398 3.398 0.000
Zr U Ti Al
1 1 1 1
Direct
0.000 0.000 0.000
0.750 0.750 0.750
0.500 0.500 0.500
0.250 0.250 0.250
```

Summary:
Spin magnetization, μB per atom: 0.69
Energy of formation, eV/atom: 0.077
Symmetry: F-43m, No. 216

=====

The following is a PBE calculation of a geometry-optimized Re3SI structure, from Alexandria.

The structure in POSCAR format:
```
Re3SI
1.0
4.855 0.000 0.000
0.000 4.855 0.000
0.000 0.000 4.855
Re S I
3 1 1
Direct
0.000 0.000 0.500
0.000 0.500 0.000
0.500 0.000 0.000
0.500 0.500 0.500
0.000 0.000 0.000
```

Summary:
Spin magnetization, μB per atom: 0.44
E above lowest polymorph, eV/f.u.: 8.46
Formation energy without anion corrections, meV per atom: 3252.6
Symmetry: Pm-3m, No. 221

=====

The following is a PBE calculation of a geometry-optimized Te2IrRh structure, from Alexandria.

The structure in POSCAR format:
```
Te2IrRh
1.0
3.362 0.000 0.000
0.000 3.362 0.000
0.000 0.000 6.714
Te Ir Rh
2 1 1
Direct
0.000 0.000 0.250
0.000 0.000 0.750
0.500 0.500 0.000
0.500 0.500 0.500
```

Summary:
Spin magnetization, μB per atom: 0.00
E above lowest polymorph, eV/f.u.: 1.35
Formation energy without anion corrections, meV per atom: 257.5
Symmetry: P4/mmm, No. 123

=====

The following is a PBE calculation of a geometry-optimized TmMgTi structure, from Alexandria.

The structure in POSCAR format:
```
TmMgTi
1.0
3.503 0.000 0.000
0.000 3.503 0.000
0.000 0.000 11.591
Tm Mg Ti
2 2 2
Direct
0.250 0.250 0.218
0.750 0.750 0.782
0.250 0.250 0.582
0.750 0.750 0.418
0.250 0.250 0.952
0.750 0.750 0.048
```

Summary:
Spin magnetization, μB per atom: 0.04
E above lowest polymorph, eV/f.u.: 0.00
Energy of formation, eV/atom: 0.011
Symmetry: P4/nmm, No. 129

=====

The following is a PBE calculation of a geometry-optimized CdCu2Br structure, from Alexandria.

The structure in POSCAR format:
```
CdCu2Br
1.0
3.329 0.000 0.000
0.000 3.329 0.000
0.000 0.000 6.950
Cd Cu Br
1 2 1
Direct
0.000 0.000 0.000
0.000 0.000 0.385
0.500 0.500 0.208
0.500 0.500 0.591
```

Summary:
Spin magnetization, μB per atom: 0.00
E above lowest polymorph, eV/f.u.: 0.34
Formation energy without anion corrections, meV per atom: 135.5
Symmetry: P4mm, No. 99

=====

The following is a PBE calculation of a geometry-optimized SrHfMg2Te structure, from Alexandria.

The structure in POSCAR format:
```
SrHfMg2Te
1.0
5.628 0.000 0.000
0.000 5.628 0.000
0.000 0.000 6.198
Sr Hf Mg Te
1 1 2 1
Direct
0.000 0.000 0.000
0.000 0.000 0.500
0.000 0.500 0.500
0.500 0.000 0.500
0.500 0.500 0.000
```

Summary:
Spin magnetization, μB per atom: 0.58
Formation energy without anion corrections, meV per atom: 845.6
Symmetry: P4/mmm, No. 123

=====

The following is a PBE calculation of a geometry-optimized GaH7N2F4 structure, from Alexandria.

The structure in POSCAR format:
```
GaH7N2F4
1.0
5.359 -3.327 0.000
5.359 3.327 0.000
-3.518 0.000 6.772
Ga H N F
2 14 4 8
Direct
0.000 0.000 0.000
0.000 0.000 0.500
0.134 0.382 0.143
0.180 0.428 0.638
0.213 0.213 0.931
0.382 0.134 0.143
0.401 0.401 0.551
0.428 0.180 0.638
0.448 0.448 0.798
0.552 0.552 0.202
0.572 0.820 0.362
0.599 0.599 0.449
0.618 0.866 0.857
0.787 0.787 0.069
0.820 0.572 0.362
0.866 0.618 0.857
0.206 0.206 0.060
0.366 0.366 0.655
0.634 0.634 0.345
0.794 0.794 0.940
0.068 0.068 0.299
0.068 0.660 0.357
0.284 0.716 0.000
0.340 0.932 0.643
0.660 0.068 0.357
0.716 0.284 0.000
0.932 0.340 0.643
0.932 0.932 0.701
```

Summary:
Spin magnetization, μB per atom: 0.00
DFT total energy, eV per atom: -4.92
Symmetry: C2/m, No. 12

=====

The following is a PBE calculation of a geometry-optimized LiTa2Br structure, from Alexandria.

The structure in POSCAR format:
```
LiTa2Br
1.0
0.000 3.311 3.311
3.311 0.000 3.311
3.311 3.311 0.000
Li Ta Br
1 2 1
Direct
0.000 0.000 0.000
0.250 0.250 0.250
0.500 0.500 0.500
0.750 0.750 0.750
```

Summary:
Spin magnetization, μB per atom: 0.00
E above lowest polymorph, eV/f.u.: 3.25
Formation energy without anion corrections, meV per atom: 869.6
Symmetry: F-43m, No. 216

=====

The following is a PBE calculation of a geometry-optimized Li3SbC structure, from Alexandria.

The structure in POSCAR format:
```
Li3SbC
1.0
4.175 0.000 0.000
0.000 4.175 0.000
0.000 0.000 4.175
Li Sb C
3 1 1
Direct
0.000 0.000 0.500
0.000 0.500 0.000
0.500 0.000 0.000
0.500 0.500 0.500
0.000 0.000 0.000
```

Summary:
Spin magnetization, μB per atom: 0.00
E above lowest polymorph, eV/f.u.: 0.00
Formation energy without anion corrections, meV per atom: 371.0
Symmetry: Pm-3m, No. 221

=====

The following is a PBE calculation of a geometry-optimized Y3PH structure, from Alexandria.

The structure in POSCAR format:
```
Y3PH
1.0
4.609 0.000 0.000
0.000 4.609 0.000
0.000 0.000 4.609
Y P H
3 1 1
Direct
0.000 0.000 0.500
0.000 0.500 0.000
0.500 0.000 0.000
0.500 0.500 0.500
0.000 0.000 0.000
```

Summary:
Spin magnetization, μB per atom: 0.00
E above lowest polymorph, eV/f.u.: 0.00
Symmetry: Pm-3m, No. 221

=====

The following is a PBE calculation of a geometry-optimized MnHgSe2N structure, from Alexandria.

The structure in POSCAR format:
```
MnHgSe2N
1.0
5.380 0.000 0.000
0.000 5.380 0.000
0.000 0.000 4.091
Mn Hg Se N
1 1 2 1
Direct
0.000 0.000 0.000
0.500 0.500 0.500
0.000 0.500 0.500
0.500 0.000 0.500
0.500 0.500 0.000
```

Summary:
Spin magnetization, μB per atom: 1.35
E above lowest polymorph, eV/f.u.: 5.17
Formation energy without anion corrections, meV per atom: 1248.4
Symmetry: P4/mmm, No. 123

=====

The following is a PBE calculation of a geometry-optimized Ba2Zn6Cu structure, from Alexandria.

The structure in POSCAR format:
```
Ba2Zn6Cu
1.0
5.598 -3.229 0.000
5.598 3.229 0.000
-0.006 0.000 5.897
Ba Zn Cu
2 6 1
Direct
0.167 0.167 0.172
0.833 0.833 0.828
0.193 0.654 0.328
0.346 0.346 0.672
0.346 0.807 0.672
0.654 0.193 0.328
0.654 0.654 0.328
0.807 0.346 0.672
0.500 0.500 0.000
```

Summary:
Spin magnetization, μB per atom: 0.00
Energy of formation, eV/atom: -0.095
Symmetry: C2/m, No. 12

=====

The following is a PBE calculation of a geometry-optimized TeOsRu2 structure, from Alexandria.

The structure in POSCAR format:
```
TeOsRu2
1.0
2.936 0.000 0.000
0.000 3.754 0.000
-0.013 0.000 5.838
Te Os Ru
1 1 2
Direct
0.000 0.000 0.000
0.000 0.000 0.500
0.499 0.500 0.276
0.501 0.500 0.724
```

Summary:
Spin magnetization, μB per atom: 0.00
Formation energy without anion corrections, meV per atom: 481.7
Symmetry: P2/m, No. 10

=====

The following is a PBE calculation of a geometry-optimized SiWSe3 structure, from Alexandria.

The structure in POSCAR format:
```
SiWSe3
1.0
4.941 0.000 0.000
0.000 4.941 0.000
0.000 0.000 4.941
Si W Se
1 1 3
Direct
0.000 0.000 0.000
0.500 0.500 0.500
0.000 0.500 0.500
0.500 0.000 0.500
0.500 0.500 0.000
```

Summary:
Spin magnetization, μB per atom: 0.16
E above lowest polymorph, eV/f.u.: 0.00
Formation energy without anion corrections, meV per atom: 632.0
Symmetry: Pm-3m, No. 221

=====

The following is a PBE calculation of a geometry-optimized CsNaInAu2 structure, from Alexandria.

The structure in POSCAR format:
```
CsNaInAu2
1.0
5.427 0.000 0.000
0.000 5.427 0.000
0.000 0.000 5.796
Cs Na In Au
1 1 1 2
Direct
0.000 0.000 0.000
0.500 0.500 0.000
0.500 0.500 0.500
0.000 0.500 0.500
0.500 0.000 0.500
```

Summary:
Spin magnetization, μB per atom: 0.00
Energy of formation, eV/atom: -0.110
Symmetry: P4/mmm, No. 123

=====

The following is a PBE calculation of a geometry-optimized CdP2BrCl structure, from Alexandria.

The structure in POSCAR format:
```
CdP2BrCl
1.0
5.152 0.000 0.000
0.000 5.152 0.000
0.000 0.000 5.048
Cd P Br Cl
1 2 1 1
Direct
0.000 0.000 0.000
0.000 0.500 0.000
0.500 0.000 0.000
0.500 0.500 0.500
0.000 0.000 0.500
```

Summary:
Spin magnetization, μB per atom: 0.29
E above lowest polymorph, eV/f.u.: 0.00
Formation energy without anion corrections, meV per atom: 805.7
Symmetry: P4/mmm, No. 123

=====

The following is a PBE calculation of a geometry-optimized BeSnP structure, from Alexandria.

The structure in POSCAR format:
```
BeSnP
1.0
3.613 0.000 0.000
-1.807 3.129 0.000
0.000 0.000 4.969
Be Sn P
1 1 1
Direct
0.000 0.000 0.000
0.667 0.333 0.461
0.333 0.667 0.953
```

Summary:
Spin magnetization, μB per atom: 0.00
E above lowest polymorph, eV/f.u.: 0.15
Energy of formation, eV/atom: 0.001
Symmetry: P3m1, No. 156

=====

The following is a PBE calculation of a geometry-optimized Tb3Y2Er structure, from Alexandria.

The structure in POSCAR format:
```
Tb3Y2Er
1.0
7.174 0.000 0.000
-3.585 6.217 0.000
-1.793 -1.038 8.574
Tb Y Er
6 4 2
Direct
0.000 0.249 0.001
0.000 0.751 0.999
0.223 0.862 0.667
0.278 0.138 0.333
0.722 0.862 0.667
0.777 0.138 0.333
0.222 0.361 0.667
0.278 0.639 0.334
0.722 0.361 0.666
0.778 0.639 0.333
0.500 0.249 0.001
0.500 0.751 0.999
```

Summary:
Spin magnetization, μB per atom: 0.00
Energy of formation, eV/atom: 0.002
Symmetry: P-1, No. 2

=====

The following is a PBE calculation of a geometry-optimized SrVIN2 structure, from Alexandria.

The structure in POSCAR format:
```
SrVIN2
1.0
4.131 0.000 0.000
0.000 4.131 0.000
0.000 0.000 5.347
Sr V I N
1 1 1 2
Direct
0.000 0.000 0.000
0.500 0.500 0.500
0.500 0.500 0.000
0.000 0.500 0.500
0.500 0.000 0.500
```

Summary:
Spin magnetization, μB per atom: 0.00
E above lowest polymorph, eV/f.u.: 0.00
Formation energy without anion corrections, meV per atom: 46.8
Symmetry: P4/mmm, No. 123